{"formula": "PmTm2CrN4", "functional": "GGA-PBE", "state": "relaxed", "lattice_angstrom": [[1.684, -5.718, 0.000], [1.684, 5.718, 0.000], [0.000, 0.000, 11.462]], "species": ["Pm", "Pm", "Tm", "Tm", "Tm", "Tm", "Cr", "Cr", "N", "N", "N", "N", "N", "N", "N", "N"], "fractional_positions": [[0.098, 0.902, 0.750], [0.902, 0.098, 0.250], [0.369, 0.631, 0.543], [0.369, 0.631, 0.957], [0.631, 0.369, 0.043], [0.631, 0.369, 0.457], [0.165, 0.835, 0.250], [0.835, 0.165, 0.750], [0.000, 0.000, 0.000], [0.000, 0.000, 0.500], [0.264, 0.736, 0.125], [0.264, 0.736, 0.375], [0.425, 0.575, 0.750], [0.575, 0.425, 0.250], [0.736, 0.264, 0.625], [0.736, 0.264, 0.875]], "dos_at_fermi_per_ev_cell": 6.870, "formation_energy_uncorrected_ev_per_fu": -10.46, "m_tot_mub_per_fu": 1.7, "dft_energy_ry_per_atom": -0.616, "spacegroup": "Cmcm (63)"}



{"formula": "GaAsN2O", "functional": "GGA-PBE", "state": "relaxed", "lattice_angstrom": [[3.842, 0.000, 0.000], [0.000, 3.842, 0.000], [0.000, 0.000, 3.616]], "species": ["Ga", "As", "N", "N", "O"], "fractional_positions": [[0.000, 0.000, 0.000], [0.500, 0.500, 0.500], [0.000, 0.500, 0.500], [0.500, 0.000, 0.500], [0.500, 0.500, 0.000]], "dos_at_fermi_per_ev_cell": 1.613, "formation_energy_uncorrected_ev_per_fu": 3.55, "m_tot_mub_per_fu": 0.0, "dft_energy_ry_per_atom": -0.378, "spacegroup": "P4/mmm (123)"}



{"formula": "Cd2Ge2Pd5Au", "functional": "GGA-PBE", "state": "relaxed", "lattice_angstrom": [[9.744, 0.000, 0.000], [0.000, 9.744, 0.000], [0.000, 0.000, 3.637]], "species": ["Cd", "Cd", "Cd", "Cd", "Ge", "Ge", "Ge", "Ge", "Pd", "Pd", "Pd", "Pd", "Pd", "Pd", "Pd", "Pd", "Pd", "Pd", "Au", "Au"], "fractional_positions": [[0.171, 0.329, 0.000], [0.329, 0.829, 0.000], [0.671, 0.171, 0.000], [0.829, 0.671, 0.000], [0.129, 0.629, 0.000], [0.371, 0.129, 0.000], [0.629, 0.871, 0.000], [0.871, 0.371, 0.000], [0.000, 0.500, 0.500], [0.078, 0.797, 0.500], [0.203, 0.078, 0.500], [0.297, 0.578, 0.500], [0.422, 0.297, 0.500], [0.500, 0.000, 0.500], [0.578, 0.703, 0.500], [0.703, 0.422, 0.500], [0.797, 0.922, 0.500], [0.922, 0.203, 0.500], [0.000, 0.000, 0.000], [0.500, 0.500, 0.000]], "e_form_ev_per_atom": -0.288, "dos_at_fermi_per_ev_cell": 7.395, "m_tot_mub_per_fu": 0.0, "dft_energy_ry_per_atom": -0.317, "spacegroup": "P4/mbm (127)"}



{"formula": "Na2RhN", "functional": "GGA-PBE", "state": "relaxed", "lattice_angstrom": [[-5.025, 5.025, 1.876], [5.025, -5.025, 1.876], [5.025, 5.025, -1.876]], "species": ["Na", "Na", "Na", "Na", "Rh", "Rh", "N", "N"], "fractional_positions": [[0.375, 0.147, 0.272], [0.853, 0.125, 0.228], [0.875, 0.103, 0.728], [0.897, 0.625, 0.772], [0.250, 0.750, 0.500], [0.500, 0.500, 0.000], [0.000, 0.000, 0.000], [0.750, 0.250, 0.500]], "dos_at_fermi_per_ev_cell": 2.794, "formation_energy_uncorrected_ev_per_fu": -0.14, "m_tot_mub_per_fu": 0.0, "dft_energy_ry_per_atom": -0.339, "spacegroup": "I-42d (122)"}



{"formula": "BaSrCl", "functional": "GGA-PBE", "state": "relaxed", "lattice_angstrom": [[4.325, 0.000, 0.000], [-2.162, 3.745, 0.000], [0.000, 0.000, 7.856]], "species": ["Ba", "Sr", "Cl"], "fractional_positions": [[0.000, 0.000, 0.000], [0.333, 0.667, 0.555], [0.667, 0.333, 0.289]], "polymorph_energy_mev_per_atom": 0.0, "dos_at_fermi_per_ev_cell": 2.602, "formation_energy_uncorrected_ev_per_fu": -3.35, "m_tot_mub_per_fu": 0.8, "dft_energy_ry_per_atom": -0.216, "spacegroup": "P3m1 (156)"}



{"formula": "PrAlGa2Ag", "functional": "GGA-PBE", "state": "relaxed", "lattice_angstrom": [[-2.133, 2.133, 5.586], [2.133, -2.133, 5.586], [2.133, 2.133, -5.586]], "species": ["Pr", "Al", "Ga", "Ga", "Ag"], "fractional_positions": [[0.000, 0.000, 0.000], [0.750, 0.250, 0.500], [0.389, 0.389, 0.000], [0.611, 0.611, 0.000], [0.250, 0.750, 0.500]], "e_form_ev_per_atom": -0.492, "dos_at_fermi_per_ev_cell": 1.339, "m_tot_mub_per_fu": 0.0, "dft_energy_ry_per_atom": -0.292, "spacegroup": "I-4m2 (119)"}



{"formula": "Pm4ZnGa3", "functional": "GGA-PBE", "state": "relaxed", "lattice_angstrom": [[-2.590, 2.590, 7.371], [2.590, -2.590, 7.371], [2.590, 2.590, -7.371]], "species": ["Pm", "Pm", "Pm", "Pm", "Zn", "Ga", "Ga", "Ga"], "fractional_positions": [[0.124, 0.624, 0.500], [0.376, 0.876, 0.500], [0.624, 0.124, 0.500], [0.876, 0.376, 0.500], [0.000, 0.000, 0.000], [0.248, 0.248, 0.000], [0.500, 0.500, 0.000], [0.752, 0.752, 0.000]], "e_form_ev_per_atom": -0.509, "dos_at_fermi_per_ev_cell": 7.020, "m_tot_mub_per_fu": 0.0, "dft_energy_ry_per_atom": -0.307, "spacegroup": "I4/mmm (139)"}



{"formula": "SrY2Co", "functional": "GGA-PBE", "state": "relaxed", "lattice_angstrom": [[0.000, 3.814, 3.814], [3.814, 0.000, 3.814], [3.814, 3.814, 0.000]], "species": ["Sr", "Y", "Y", "Co"], "fractional_positions": [[0.000, 0.000, 0.000], [0.500, 0.500, 0.500], [0.750, 0.750, 0.750], [0.250, 0.250, 0.250]], "polymorph_energy_mev_per_atom": 579.1, "e_form_ev_per_atom": 0.577, "dos_at_fermi_per_ev_cell": 6.116, "m_tot_mub_per_fu": 0.6, "dft_energy_ry_per_atom": -0.357, "spacegroup": "F-43m (216)"}



Repeat the seventh record exactly.
{"formula": "Pm4ZnGa3", "functional": "GGA-PBE", "state": "relaxed", "lattice_angstrom": [[-2.590, 2.590, 7.371], [2.590, -2.590, 7.371], [2.590, 2.590, -7.371]], "species": ["Pm", "Pm", "Pm", "Pm", "Zn", "Ga", "Ga", "Ga"], "fractional_positions": [[0.124, 0.624, 0.500], [0.376, 0.876, 0.500], [0.624, 0.124, 0.500], [0.876, 0.376, 0.500], [0.000, 0.000, 0.000], [0.248, 0.248, 0.000], [0.500, 0.500, 0.000], [0.752, 0.752, 0.000]], "e_form_ev_per_atom": -0.509, "dos_at_fermi_per_ev_cell": 7.020, "m_tot_mub_per_fu": 0.0, "dft_energy_ry_per_atom": -0.307, "spacegroup": "I4/mmm (139)"}